(1)
First-principles (PBE-GGA) data for crystalline Ru2RhSe at its relaxed geometry, as listed in Alexandria.

a b c (Å): 3.915 3.915 3.805
angles (deg): 90.00 90.00 90.00
Fractional coordinates of all 4 atoms:
1 Ru 0.000 0.500 0.000
2 Ru 0.500 0.000 0.000
3 Rh 0.000 0.000 0.500
4 Se 0.500 0.500 0.500

Results
Final energy: -27.89 eV/cell
Size of the total moment: 0.0 μB per formula unit
Space-group type: P4/mmm
Raw formation energy: 8.61 kcal/mol of atoms

(2)
First-principles (PBE-GGA) data for crystalline Ru2RhSe at its relaxed geometry, as listed in Alexandria.

a b c (Å): 5.209 5.209 5.209
angles (deg): 146.90 130.01 61.27
Fractional coordinates of all 4 atoms:
1 Ru 0.000 0.000 0.000
2 Ru 0.729 0.229 0.500
3 Rh 0.450 0.450 0.000
4 Se 0.222 0.722 0.500

Results
Final energy: -28.27 eV/cell
Size of the total moment: 0.0 μB per formula unit
Space-group type: Imm2
Raw formation energy: 6.47 kcal/mol of atoms

(3)
First-principles (PBE-GGA) data for crystalline Ru2RhSe at its relaxed geometry, as listed in Alexandria.

a b c (Å): 2.940 3.986 5.235
angles (deg): 90.00 105.11 90.00
Fractional coordinates of all 4 atoms:
1 Ru 0.128 0.000 0.257
2 Ru 0.872 0.000 0.743
3 Rh 0.500 0.500 0.000
4 Se 0.500 0.500 0.500

Results
Final energy: -28.37 eV/cell
Size of the total moment: 0.0 μB per formula unit
Space-group type: P2/m
Raw formation energy: 5.87 kcal/mol of atoms

(4)
First-principles (PBE-GGA) data for crystalline Ru2RhSe at its relaxed geometry, as listed in Alexandria.

a b c (Å): 2.756 2.756 9.096
angles (deg): 90.00 90.00 118.96
Fractional coordinates of all 4 atoms:
1 Ru 0.000 0.000 0.249
2 Ru 0.000 0.000 0.751
3 Rh 0.500 0.500 0.500
4 Se 0.500 0.500 0.000

Results
Final energy: -26.99 eV/cell
Size of the total moment: 0.0 μB per formula unit
Space-group type: Cmmm
Raw formation energy: 13.84 kcal/mol of atoms

(5)
First-principles (PBE-GGA) data for crystalline RuRhSe2 at its relaxed geometry, as listed in Alexandria.

a b c (Å): 3.253 3.616 6.241
angles (deg): 90.00 90.17 90.00
Fractional coordinates of all 4 atoms:
1 Ru 0.000 0.000 0.000
2 Rh 0.498 0.500 0.749
3 Se 0.501 0.500 0.143
4 Se 0.998 0.000 0.614

Results
Final energy: -24.08 eV/cell
Size of the total moment: 0.0 μB per formula unit
Space-group type: Pm
Raw formation energy: -2.80 kcal/mol of atoms
Energy above the lowest structure with this stoichiometry: 0.00 eV per formula unit

(6)
First-principles (PBE-GGA) data for crystalline RuRhSe2 at its relaxed geometry, as listed in Alexandria.

a b c (Å): 3.070 3.070 7.993
angles (deg): 90.00 90.00 90.00
Fractional coordinates of all 4 atoms:
1 Ru 0.000 0.000 0.000
2 Rh 0.500 0.500 0.736
3 Se 0.000 0.000 0.585
4 Se 0.500 0.500 0.157

Results
Final energy: -23.84 eV/cell
Size of the total moment: 0.0 μB per formula unit
Space-group type: P4mm
Raw formation energy: -1.38 kcal/mol of atoms
Energy above the lowest structure with this stoichiometry: 0.24 eV per formula unit

(7)
First-principles (PBE-GGA) data for crystalline RuRhSe2 at its relaxed geometry, as listed in Alexandria.

a b c (Å): 7.896 7.896 7.896
angles (deg): 22.63 22.63 22.63
Fractional coordinates of all 4 atoms:
1 Ru 0.000 0.000 0.000
2 Rh 0.500 0.500 0.500
3 Se 0.251 0.251 0.251
4 Se 0.749 0.749 0.749

Results
Final energy: -23.27 eV/cell
Size of the total moment: 0.0 μB per formula unit
Space-group type: R-3m
Raw formation energy: 1.90 kcal/mol of atoms
Energy above the lowest structure with this stoichiometry: 0.82 eV per formula unit

(8)
First-principles (PBE-GGA) data for crystalline Ru2RhSe at its relaxed geometry, as listed in Alexandria.

a b c (Å): 6.769 6.769 6.769
angles (deg): 132.20 132.20 69.91
Fractional coordinates of all 8 atoms:
1 Ru 0.119 0.625 0.994
2 Ru 0.375 0.369 0.494
3 Ru 0.631 0.125 0.006
4 Ru 0.875 0.881 0.506
5 Rh 0.250 0.750 0.500
6 Rh 0.500 0.500 0.000
7 Se 0.000 0.000 0.000
8 Se 0.750 0.250 0.500

Results
Final energy: -53.02 eV/cell
Size of the total moment: 0.0 μB per formula unit
Space-group type: I-42d
Raw formation energy: 16.59 kcal/mol of atoms

(9)
First-principles (PBE-GGA) data for crystalline RuRhSe2 at its relaxed geometry, as listed in Alexandria.

a b c (Å): 5.518 5.518 5.518
angles (deg): 147.59 132.55 58.64
Fractional coordinates of all 4 atoms:
1 Ru 0.000 0.000 0.000
2 Rh 0.295 0.795 0.500
3 Se 0.512 0.512 0.000
4 Se 0.793 0.293 0.500

Results
Final energy: -22.86 eV/cell
Size of the total moment: 0.0 μB per formula unit
Space-group type: Imm2
Raw formation energy: 4.25 kcal/mol of atoms
Energy above the lowest structure with this stoichiometry: 1.22 eV per formula unit

(10)
First-principles (PBE-GGA) data for crystalline RuRhSe2 at its relaxed geometry, as listed in Alexandria.

a b c (Å): 4.250 4.250 5.354
angles (deg): 102.01 102.01 42.95
Fractional coordinates of all 4 atoms:
1 Ru 0.000 0.000 0.000
2 Rh 0.500 0.500 0.500
3 Se 0.261 0.261 0.756
4 Se 0.739 0.739 0.244

Results
Final energy: -23.19 eV/cell
Size of the total moment: 0.0 μB per formula unit
Space-group type: C2/m
Raw formation energy: 2.35 kcal/mol of atoms
Energy above the lowest structure with this stoichiometry: 0.89 eV per formula unit

(11)
First-principles (PBE-GGA) data for crystalline Ru2RhSe at its relaxed geometry, as listed in Alexandria.

a b c (Å): 4.697 4.697 4.697
angles (deg): 130.54 130.54 72.55
Fractional coordinates of all 4 atoms:
1 Ru 0.000 0.000 0.000
2 Ru 0.750 0.250 0.500
3 Rh 0.500 0.500 0.000
4 Se 0.250 0.750 0.500

Results
Final energy: -28.03 eV/cell
Size of the total moment: 0.0 μB per formula unit
Space-group type: I-4m2
Raw formation energy: 7.82 kcal/mol of atoms

(12)
First-principles (PBE-GGA) data for crystalline RuRhSe4 at its relaxed geometry, as listed in Alexandria.

a b c (Å): 6.038 6.051 6.051
angles (deg): 90.00 90.02 90.00
Fractional coordinates of all 12 atoms:
1 Ru 0.000 0.000 0.000
2 Ru 0.000 0.500 0.500
3 Rh 0.500 0.000 0.500
4 Rh 0.500 0.500 0.000
5 Se 0.119 0.125 0.375
6 Se 0.119 0.375 0.875
7 Se 0.374 0.621 0.380
8 Se 0.374 0.879 0.880
9 Se 0.626 0.121 0.120
10 Se 0.626 0.379 0.620
11 Se 0.881 0.625 0.125
12 Se 0.881 0.875 0.625

Results
Final energy: -66.02 eV/cell
Size of the total moment: 0.0 μB per formula unit
Space-group type: P2_1/c
Raw formation energy: -9.39 kcal/mol of atoms
Energy above the lowest structure with this stoichiometry: 0.00 eV per formula unit

(13)
First-principles (PBE-GGA) data for crystalline Ru2RhSe at its relaxed geometry, as listed in Alexandria.

a b c (Å): 2.858 2.858 7.228
angles (deg): 90.00 90.00 90.00
Fractional coordinates of all 4 atoms:
1 Ru 0.000 0.000 0.000
2 Ru 0.500 0.500 0.241
3 Rh 0.500 0.500 0.742
4 Se 0.000 0.000 0.486

Results
Final energy: -28.53 eV/cell
Size of the total moment: 0.0 μB per formula unit
Space-group type: P4mm
Raw formation energy: 4.97 kcal/mol of atoms

(14)
First-principles (PBE-GGA) data for crystalline RuRh2Se at its relaxed geometry, as listed in Alexandria.

a b c (Å): 2.865 4.045 5.276
angles (deg): 90.00 102.93 90.00
Fractional coordinates of all 4 atoms:
1 Ru 0.000 0.000 0.000
2 Rh 0.386 0.500 0.749
3 Rh 0.614 0.500 0.251
4 Se 0.000 0.000 0.500

Results
Final energy: -26.64 eV/cell
Size of the total moment: 0.0 μB per formula unit
Space-group type: P2/m
Raw formation energy: 4.72 kcal/mol of atoms

(15)
First-principles (PBE-GGA) data for crystalline RuRhSe2 at its relaxed geometry, as listed in Alexandria.

a b c (Å): 2.974 4.228 5.220
angles (deg): 90.00 90.00 90.00
Fractional coordinates of all 4 atoms:
1 Ru 0.000 0.000 0.000
2 Rh 0.500 0.000 0.500
3 Se 0.000 0.500 0.500
4 Se 0.500 0.500 0.000

Results
Final energy: -21.70 eV/cell
Size of the total moment: 0.0 μB per formula unit
Space-group type: Pmmm
Raw formation energy: 10.91 kcal/mol of atoms
Energy above the lowest structure with this stoichiometry: 2.38 eV per formula unit

(16)
First-principles (PBE-GGA) data for crystalline RuRh2Se at its relaxed geometry, as listed in Alexandria.

a b c (Å): 4.826 4.826 4.634
angles (deg): 105.20 105.20 34.75
Fractional coordinates of all 4 atoms:
1 Ru 0.000 0.000 0.000
2 Rh 0.240 0.240 0.755
3 Rh 0.760 0.760 0.245
4 Se 0.500 0.500 0.500

Results
Final energy: -26.64 eV/cell
Size of the total moment: 0.0 μB per formula unit
Space-group type: C2/m
Raw formation energy: 4.74 kcal/mol of atoms

(17)
First-principles (PBE-GGA) data for crystalline Ru2RhSe at its relaxed geometry, as listed in Alexandria.

a b c (Å): 8.535 8.535 8.535
angles (deg): 19.23 19.23 19.23
Fractional coordinates of all 4 atoms:
1 Ru 0.000 0.000 0.000
2 Ru 0.250 0.250 0.250
3 Rh 0.754 0.754 0.754
4 Se 0.504 0.504 0.504

Results
Final energy: -28.44 eV/cell
Size of the total moment: 0.0 μB per formula unit
Space-group type: R3m
Raw formation energy: 5.46 kcal/mol of atoms

(18)
First-principles (PBE-GGA) data for crystalline Ru3RhSe at its relaxed geometry, as listed in Alexandria.

a b c (Å): 4.703 4.703 4.703
angles (deg): 90.00 90.00 90.00
Fractional coordinates of all 5 atoms:
1 Ru 0.000 0.000 0.500
2 Ru 0.000 0.500 0.000
3 Ru 0.500 0.000 0.000
4 Rh 0.000 0.000 0.000
5 Se 0.500 0.500 0.500

Results
Final energy: -29.28 eV/cell
Size of the total moment: 3.8 μB per formula unit
Space-group type: Pm-3m
Raw formation energy: 43.26 kcal/mol of atoms
Energy above the lowest structure with this stoichiometry: 3.22 eV per formula unit

(19)
First-principles (PBE-GGA) data for crystalline Ru2RhSe at its relaxed geometry, as listed in Alexandria.

a b c (Å): 4.399 4.399 4.399
angles (deg): 60.00 60.00 60.00
Fractional coordinates of all 4 atoms:
1 Ru 0.000 0.000 0.000
2 Ru 0.250 0.250 0.250
3 Rh 0.500 0.500 0.500
4 Se 0.750 0.750 0.750

Results
Final energy: -27.37 eV/cell
Size of the total moment: 2.4 μB per formula unit
Space-group type: F-43m
Raw formation energy: 11.62 kcal/mol of atoms

(20)
First-principles (PBE-GGA) data for crystalline RuRh2Se at its relaxed geometry, as listed in Alexandria.

a b c (Å): 4.759 4.759 4.759
angles (deg): 131.46 131.46 71.08
Fractional coordinates of all 4 atoms:
1 Ru 0.000 0.000 0.000
2 Rh 0.250 0.750 0.500
3 Rh 0.750 0.250 0.500
4 Se 0.500 0.500 0.000

Results
Final energy: -26.33 eV/cell
Size of the total moment: 0.0 μB per formula unit
Space-group type: I4/mmm
Raw formation energy: 6.56 kcal/mol of atoms

(21)
First-principles (PBE-GGA) data for crystalline RuRh2Se at its relaxed geometry, as listed in Alexandria.

a b c (Å): 4.682 4.682 2.868
angles (deg): 90.00 90.00 109.62
Fractional coordinates of all 4 atoms:
1 Ru 0.000 0.000 0.000
2 Rh 0.000 0.500 0.500
3 Rh 0.500 0.000 0.500
4 Se 0.500 0.500 0.000

Results
Final energy: -26.60 eV/cell
Size of the total moment: 0.0 μB per formula unit
Space-group type: Cmmm
Raw formation energy: 4.98 kcal/mol of atoms

(22)
First-principles (PBE-GGA) data for crystalline RuRh2Se at its relaxed geometry, as listed in Alexandria.

a b c (Å): 2.860 3.758 5.542
angles (deg): 90.00 90.00 90.00
Fractional coordinates of all 4 atoms:
1 Ru 0.000 0.000 0.000
2 Rh 0.500 0.500 0.238
3 Rh 0.500 0.500 0.762
4 Se 0.000 0.000 0.500

Results
Final energy: -26.69 eV/cell
Size of the total moment: 0.0 μB per formula unit
Space-group type: Pmmm
Raw formation energy: 4.47 kcal/mol of atoms

(23)
First-principles (PBE-GGA) data for crystalline Ru2RhSe at its relaxed geometry, as listed in Alexandria.

a b c (Å): 3.947 5.403 5.403
angles (deg): 30.80 90.00 90.00
Fractional coordinates of all 4 atoms:
1 Ru 0.000 0.000 0.000
2 Ru 0.500 0.385 0.385
3 Rh 0.000 0.748 0.748
4 Se 0.500 0.148 0.148

Results
Final energy: -28.57 eV/cell
Size of the total moment: 0.0 μB per formula unit
Space-group type: Amm2
Raw formation energy: 4.70 kcal/mol of atoms

(24)
First-principles (PBE-GGA) data for crystalline RuRh2Se2 at its relaxed geometry, as listed in Alexandria.

a b c (Å): 6.539 6.539 6.539
angles (deg): 145.76 145.76 49.20
Fractional coordinates of all 5 atoms:
1 Ru 0.000 0.000 0.000
2 Rh 0.250 0.750 0.500
3 Rh 0.750 0.250 0.500
4 Se 0.382 0.382 0.000
5 Se 0.618 0.618 0.000

Results
Final energy: -28.68 eV/cell
Size of the total moment: 1.4 μB per formula unit
Space-group type: I4/mmm
Raw formation energy: 10.45 kcal/mol of atoms

(25)
First-principles (PBE-GGA) data for crystalline RuRh2Se at its relaxed geometry, as listed in Alexandria.

a b c (Å): 2.772 2.772 9.062
angles (deg): 90.00 90.00 119.30
Fractional coordinates of all 4 atoms:
1 Ru 0.000 0.000 0.000
2 Rh 0.000 0.000 0.503
3 Rh 0.500 0.500 0.248
4 Se 0.500 0.500 0.755

Results
Final energy: -25.62 eV/cell
Size of the total moment: 0.0 μB per formula unit
Space-group type: Cmm2
Raw formation energy: 10.64 kcal/mol of atoms

(26)
First-principles (PBE-GGA) data for crystalline RuRh2Se at its relaxed geometry, as listed in Alexandria.

a b c (Å): 6.581 6.581 6.581
angles (deg): 128.56 128.56 75.72
Fractional coordinates of all 8 atoms:
1 Ru 0.000 0.000 0.000
2 Ru 0.750 0.250 0.500
3 Rh 0.121 0.625 0.996
4 Rh 0.375 0.371 0.496
5 Rh 0.629 0.125 0.004
6 Rh 0.875 0.879 0.504
7 Se 0.250 0.750 0.500
8 Se 0.500 0.500 0.000

Results
Final energy: -50.19 eV/cell
Size of the total moment: 0.0 μB per formula unit
Space-group type: I-42d
Raw formation energy: 13.67 kcal/mol of atoms

(27)
First-principles (PBE-GGA) data for crystalline RuRh2Se at its relaxed geometry, as listed in Alexandria.

a b c (Å): 2.901 2.901 7.024
angles (deg): 90.00 90.00 90.00
Fractional coordinates of all 4 atoms:
1 Ru 0.000 0.000 0.000
2 Rh 0.000 0.000 0.483
3 Rh 0.500 0.500 0.750
4 Se 0.500 0.500 0.238

Results
Final energy: -26.68 eV/cell
Size of the total moment: 0.0 μB per formula unit
Space-group type: P4mm
Raw formation energy: 4.51 kcal/mol of atoms

(28)
First-principles (PBE-GGA) data for crystalline RuRh2Se at its relaxed geometry, as listed in Alexandria.

a b c (Å): 5.139 5.139 5.139
angles (deg): 144.76 130.32 62.37
Fractional coordinates of all 4 atoms:
1 Ru 0.000 0.000 0.000
2 Rh 0.277 0.777 0.500
3 Rh 0.723 0.223 0.500
4 Se 0.500 0.500 0.000

Results
Final energy: -26.63 eV/cell
Size of the total moment: 0.0 μB per formula unit
Space-group type: Immm
Raw formation energy: 4.82 kcal/mol of atoms

(29)
First-principles (PBE-GGA) data for crystalline RuRh2Se at its relaxed geometry, as listed in Alexandria.

a b c (Å): 4.392 4.392 4.392
angles (deg): 60.00 60.00 60.00
Fractional coordinates of all 4 atoms:
1 Ru 0.000 0.000 0.000
2 Rh 0.500 0.500 0.500
3 Rh 0.750 0.750 0.750
4 Se 0.250 0.250 0.250

Results
Final energy: -26.15 eV/cell
Size of the total moment: 1.8 μB per formula unit
Space-group type: F-43m
Raw formation energy: 7.57 kcal/mol of atoms

(30)
First-principles (PBE-GGA) data for crystalline RuRhSe2 at its relaxed geometry, as listed in Alexandria.

a b c (Å): 5.243 5.243 5.243
angles (deg): 138.17 138.17 60.64
Fractional coordinates of all 4 atoms:
1 Ru 0.000 0.000 0.000
2 Rh 0.750 0.250 0.500
3 Se 0.250 0.750 0.500
4 Se 0.500 0.500 0.000

Results
Final energy: -22.19 eV/cell
Size of the total moment: 0.0 μB per formula unit
Space-group type: I-4m2
Raw formation energy: 8.11 kcal/mol of atoms
Energy above the lowest structure with this stoichiometry: 1.89 eV per formula unit